[1]
# KTlI2 (meta-GGA SCAN, single point on PBEsol structure)
data_KTlI2
_cell_length_a 5.885
_cell_length_b 5.885
_cell_length_c 5.885
_cell_angle_alpha 60.00
_cell_angle_beta 60.00
_cell_angle_gamma 60.00
_space_group_name_H-M_alt 'P 1'
_space_group_IT_number 1
_space_group_name_Hall 'P 1'
loop_
_atom_site_label
_atom_site_type_symbol
_atom_site_fract_x
_atom_site_fract_y
_atom_site_fract_z
K1 K 0.000 0.000 0.000
Tl1 Tl 0.500 0.500 0.500
I1 I 0.250 0.250 0.250
I2 I 0.750 0.750 0.750
# formation energy (no corrections)	-1.12	eV/atom

=====

[2]
# CoPbF2 (meta-GGA SCAN, single point on PBEsol structure)
data_CoPbF2
_cell_length_a 7.341
_cell_length_b 7.341
_cell_length_c 7.341
_cell_angle_alpha 25.70
_cell_angle_beta 25.70
_cell_angle_gamma 25.70
_space_group_name_H-M_alt 'P 1'
_space_group_IT_number 1
_space_group_name_Hall 'P 1'
loop_
_atom_site_label
_atom_site_type_symbol
_atom_site_fract_x
_atom_site_fract_y
_atom_site_fract_z
Co1 Co 0.000 0.000 0.000
Pb1 Pb 0.500 0.500 0.500
F1 F 0.377 0.377 0.377
F2 F 0.623 0.623 0.623
# formation energy (no corrections)	-1.48	eV/atom

=====

[3]
# SrSi3Ni (meta-GGA SCAN, single point on PBEsol structure)
data_SrSi3Ni
_cell_length_a 5.663
_cell_length_b 5.663
_cell_length_c 5.663
_cell_angle_alpha 137.06
_cell_angle_beta 137.06
_cell_angle_gamma 62.34
_space_group_name_H-M_alt 'P 1'
_space_group_IT_number 1
_space_group_name_Hall 'P 1'
loop_
_atom_site_label
_atom_site_type_symbol
_atom_site_fract_x
_atom_site_fract_y
_atom_site_fract_z
Sr1 Sr 0.000 0.000 0.000
Si1 Si 0.249 0.749 0.500
Si2 Si 0.594 0.594 0.000
Si3 Si 0.749 0.249 0.500
Ni1 Ni 0.354 0.354 0.000
# formation energy (no corrections)	-0.44	eV/atom

=====

[4]
# MgAl2P (meta-GGA SCAN, single point on PBEsol structure)
data_MgAl2P
_cell_length_a 7.647
_cell_length_b 7.647
_cell_length_c 7.647
_cell_angle_alpha 26.16
_cell_angle_beta 26.16
_cell_angle_gamma 26.16
_space_group_name_H-M_alt 'P 1'
_space_group_IT_number 1
_space_group_name_Hall 'P 1'
loop_
_atom_site_label
_atom_site_type_symbol
_atom_site_fract_x
_atom_site_fract_y
_atom_site_fract_z
Mg1 Mg 0.000 0.000 0.000
Al1 Al 0.231 0.231 0.231
Al2 Al 0.769 0.769 0.769
P1 P 0.500 0.500 0.500
# energy of formation from the pure elements	-0.0954	eV/atom

=====

[5]
# Mg4B3Ir2 (meta-GGA SCAN, single point on PBEsol structure)
data_Mg4B3Ir2
_cell_length_a 4.915
_cell_length_b 4.915
_cell_length_c 6.854
_cell_angle_alpha 112.20
_cell_angle_beta 112.20
_cell_angle_gamma 58.74
_space_group_name_H-M_alt 'P 1'
_space_group_IT_number 1
_space_group_name_Hall 'P 1'
loop_
_atom_site_label
_atom_site_type_symbol
_atom_site_fract_x
_atom_site_fract_y
_atom_site_fract_z
Mg1 Mg 0.192 0.192 0.341
Mg2 Mg 0.196 0.196 0.860
Mg3 Mg 0.804 0.804 0.140
Mg4 Mg 0.808 0.808 0.659
B1 B 0.176 0.824 0.500
B2 B 0.500 0.500 0.000
B3 B 0.824 0.176 0.500
Ir1 Ir 0.486 0.486 0.283
Ir2 Ir 0.514 0.514 0.717
# energy of formation from the pure elements	-0.4544	eV/atom

=====

[6]
# TiBr3N (meta-GGA SCAN, single point on PBEsol structure)
data_TiBr3N
_cell_length_a 4.583
_cell_length_b 4.583
_cell_length_c 4.583
_cell_angle_alpha 90.00
_cell_angle_beta 90.00
_cell_angle_gamma 90.00
_space_group_name_H-M_alt 'P 1'
_space_group_IT_number 1
_space_group_name_Hall 'P 1'
loop_
_atom_site_label
_atom_site_type_symbol
_atom_site_fract_x
_atom_site_fract_y
_atom_site_fract_z
Ti1 Ti 0.000 0.000 0.000
Br1 Br 0.000 0.500 0.500
Br2 Br 0.500 0.000 0.500
Br3 Br 0.500 0.500 0.000
N1 N 0.500 0.500 0.500
# formation energy (no corrections)	0.73	eV/atom

=====

[7]
# BaP2Ir (meta-GGA SCAN, single point on PBEsol structure)
data_BaP2Ir
_cell_length_a 4.618
_cell_length_b 4.618
_cell_length_c 5.828
_cell_angle_alpha 104.29
_cell_angle_beta 104.29
_cell_angle_gamma 45.51
_space_group_name_H-M_alt 'P 1'
_space_group_IT_number 1
_space_group_name_Hall 'P 1'
loop_
_atom_site_label
_atom_site_type_symbol
_atom_site_fract_x
_atom_site_fract_y
_atom_site_fract_z
Ba1 Ba 0.000 0.000 0.000
P1 P 0.516 0.516 0.511
P2 P 0.789 0.789 0.371
Ir1 Ir 0.224 0.224 0.582
# energy of formation from the pure elements	-0.4549	eV/atom

=====

[8]
# MgZr3O (meta-GGA SCAN, single point on PBEsol structure)
data_MgZr3O
_cell_length_a 4.465
_cell_length_b 4.465
_cell_length_c 4.465
_cell_angle_alpha 90.00
_cell_angle_beta 90.00
_cell_angle_gamma 90.00
_space_group_name_H-M_alt 'P 1'
_space_group_IT_number 1
_space_group_name_Hall 'P 1'
loop_
_atom_site_label
_atom_site_type_symbol
_atom_site_fract_x
_atom_site_fract_y
_atom_site_fract_z
Mg1 Mg 0.000 0.000 0.000
Zr1 Zr 0.000 0.500 0.500
Zr2 Zr 0.500 0.000 0.500
Zr3 Zr 0.500 0.500 0.000
O1 O 0.500 0.500 0.500
# formation energy (no corrections)	-1.12	eV/atom